The following is a GGA-PBE calculation of a geometry-optimized Dy2SiNi6B structure, from the Alexandria database.

abc: 5.360 6.444 6.440
angles: 49.24 65.39 89.99
Fractional positions:
Dy 0.780 0.221 0.440
Dy 0.220 0.779 0.560
Si 0.500 0.500 0.000
Ni 0.237 0.298 0.526
Ni 0.702 0.763 0.060
Ni 0.237 0.763 0.060
Ni 0.763 0.237 0.940
Ni 0.298 0.237 0.940
Ni 0.763 0.702 0.474
B 0.000 0.000 0.000

Output
Symmetry   C2/m
Uncorrected formation energy   -51.2 kJ per mole of atoms